Here is a relaxed CoMoW3 crystal from Alexandria via LeMat-Bulk. Energies are from PBE-GGA.

extended XYZ file:
```
5
Lattice="4.688 0.000 0.000 0.000 4.688 0.000 0.000 0.000 4.688" Properties=species:S:1:pos:R:3 pbc="T T T"
Co 0.000 0.000 0.000
Mo 2.344 2.344 2.344
W 0.000 2.344 2.344
W 2.344 0.000 2.344
W 2.344 2.344 0.000
```

ΔH_f (0 K): 2.373 eV per atom
VASP energy: -8.9859 eV per atom
total magnetization: 1.318 μB/cell
symmetry: Pm-3m